(1)
{
  "formula": "Pm2Pr2Nd3",
  "functional": "PBE",
  "state": "optimized geometry",
  "volume_a3_per_cell": 503.9,
  "spacegroup": "No. 14",
  "energy_ry_per_atom": -0.3395,
  "delta_e_f_ev_per_atom": 0.147,
  "magmom_total_mub_per_cell": 0.00,
  "cell": [[7.1546, -0.1542, 0.0000], [-3.4711, 5.6425, 0.0000], [0.0000, 0.0000, 12.6486]],
  "species": ["Pm", "Pm", "Pm", "Pm", "Pr", "Pr", "Pr", "Pr", "Nd", "Nd", "Nd", "Nd", "Nd", "Nd"],
  "fractional_positions": [[0.6629, 0.0021, 0.7078], [0.1629, 0.0021, 0.7922], [0.8371, 0.9979, 0.2078], [0.3371, 0.9979, 0.2922], [0.6542, 0.5908, 0.8857], [0.1542, 0.5908, 0.6143], [0.8458, 0.4092, 0.3857], [0.3458, 0.4092, 0.1143], [0.0000, 0.0000, 0.5000], [0.5000, 0.0000, 0.0000], [0.9349, 0.5862, 0.1146], [0.5651, 0.4138, 0.6146], [0.4349, 0.5862, 0.3854], [0.0651, 0.4138, 0.8854]]
}

=====

(2)
{
  "formula": "LiGdYAl",
  "functional": "PBE",
  "state": "optimized geometry",
  "volume_a3_per_cell": 98.6,
  "spacegroup": "No. 216",
  "energy_ry_per_atom": -0.4981,
  "delta_e_f_ev_per_atom": -0.227,
  "magmom_total_mub_per_cell": 7.56,
  "cell": [[-1.7144, -4.8833, -0.3375], [1.8334, -3.1425, -3.6963], [3.1281, -3.9397, 1.2623]],
  "species": ["Y", "Gd", "Al", "Li"],
  "fractional_positions": [[0.0000, 0.0000, 0.0000], [0.5000, 0.5000, 0.5000], [0.2500, 0.2500, 0.2500], [0.7500, 0.7500, 0.7500]]
}

=====

(3)
{
  "formula": "PuFe4Pt",
  "functional": "PBE",
  "state": "optimized geometry",
  "volume_a3_per_cell": 87.5,
  "spacegroup": "No. 216",
  "energy_ry_per_atom": -0.6743,
  "delta_e_f_ev_per_atom": -0.137,
  "magmom_total_mub_per_cell": 5.52,
  "cell": [[4.9824, 0.0000, 0.0000], [2.4912, 4.3149, 0.0000], [2.4912, 1.4383, 4.0681]],
  "species": ["Fe", "Fe", "Fe", "Fe", "Pt", "Pu"],
  "fractional_positions": [[0.6258, 0.6258, 0.1226], [0.6258, 0.1226, 0.6258], [0.6258, 0.6258, 0.6258], [0.1226, 0.6258, 0.6258], [0.0000, 0.0000, 0.0000], [0.2500, 0.2500, 0.2500]]
}

=====

(4)
{
  "formula": "Cs3SbS",
  "functional": "PBE",
  "state": "optimized geometry",
  "volume_a3_per_cell": 517.9,
  "formation_energy_uncorrected_ev_per_atom": -0.60,
  "spacegroup": "No. 166",
  "energy_ry_per_atom": -0.2031,
  "magmom_total_mub_per_cell": 2.06,
  "cell": [[-4.4527, 7.1582, -3.9833], [-6.6217, 4.5761, 4.7120], [3.9790, 7.5714, -1.7530]],
  "species": ["Cs", "Cs", "Cs", "Cs", "Cs", "Cs", "Sb", "Sb", "S", "S"],
  "fractional_positions": [[0.3845, 0.9917, 0.4618], [0.0418, 0.6628, 0.0172], [0.5002, 0.2051, 0.0172], [0.0420, 0.2047, 0.0171], [0.3845, 0.5337, 0.4619], [0.9263, 0.9913, 0.4618], [0.8449, 0.5324, 0.5418], [0.5812, 0.6641, 0.9376], [0.0117, 0.9490, 0.7918], [0.4148, 0.2475, 0.6872]]
}

=====

(5)
{
  "formula": "TaCrP2",
  "functional": "PBE",
  "state": "optimized geometry",
  "volume_a3_per_cell": 164.0,
  "spacegroup": "No. 122",
  "energy_ry_per_atom": -0.5907,
  "delta_e_f_ev_per_atom": 0.037,
  "magmom_total_mub_per_cell": 6.31,
  "cell": [[-5.0179, 2.1479, 0.8952], [-0.7898, -3.5736, 4.1472], [-0.7828, 2.8091, 5.9600]],
  "species": ["Cr", "Cr", "P", "P", "P", "P", "Ta", "Ta"],
  "fractional_positions": [[0.5000, 0.5000, 0.0000], [0.2500, 0.7500, 0.5000], [0.6111, 0.1250, 0.2500], [0.1389, 0.6250, 0.2500], [0.3750, 0.3889, 0.7500], [0.8750, 0.8611, 0.7500], [0.0000, 0.0000, 0.0000], [0.7500, 0.2500, 0.5000]]
}

=====

(6)
{
  "formula": "KLiReC2",
  "functional": "PBE",
  "state": "optimized geometry",
  "volume_a3_per_cell": 81.4,
  "spacegroup": "No. 123",
  "energy_ry_per_atom": -0.4332,
  "delta_e_f_ev_per_atom": 0.888,
  "magmom_total_mub_per_cell": 0.00,
  "cell": [[4.0632, 0.0000, 0.0000], [0.0000, 4.0632, 0.0000], [0.0000, 0.0000, 4.9278]],
  "species": ["Re", "K", "C", "C", "Li"],
  "fractional_positions": [[0.0000, 0.0000, 0.0000], [0.5000, 0.5000, 0.5000], [0.0000, 0.5000, 0.0000], [0.5000, 0.0000, 0.0000], [0.0000, 0.0000, 0.5000]]
}

=====

(7)
{
  "formula": "Mg2TlMo",
  "functional": "PBE",
  "state": "optimized geometry",
  "volume_a3_per_cell": 82.3,
  "spacegroup": "No. 65",
  "energy_ry_per_atom": -0.2804,
  "delta_e_f_ev_per_atom": 0.282,
  "magmom_total_mub_per_cell": 0.00,
  "cell": [[-2.3495, 1.7991, -0.1457], [-0.4162, -0.7491, 2.8362], [5.3790, 7.2435, 2.7026]],
  "species": ["Mg", "Mg", "Mo", "Tl"],
  "fractional_positions": [[0.0000, 0.0000, 0.0300], [0.0000, 0.0000, 0.4700], [0.5000, 0.5000, 0.2500], [0.5000, 0.5000, 0.7500]]
}

=====

(8)
{
  "formula": "SrAl3ZnCu",
  "functional": "PBE",
  "state": "optimized geometry",
  "volume_a3_per_cell": 246.4,
  "spacegroup": "No. 63",
  "energy_ry_per_atom": -0.2294,
  "delta_e_f_ev_per_atom": -0.074,
  "magmom_total_mub_per_cell": 0.00,
  "cell": [[5.9045, 0.0000, 0.0000], [0.0000, 6.0868, 0.0000], [0.0000, -3.0434, 6.8555]],
  "species": ["Sr", "Sr", "Al", "Al", "Al", "Al", "Al", "Al", "Zn", "Zn", "Cu", "Cu"],
  "fractional_positions": [[0.7500, 0.2858, 0.5717], [0.2500, 0.7142, 0.4283], [0.2500, 0.1214, 0.2429], [0.0000, 0.2837, 0.0000], [0.5000, 0.7163, 0.0000], [0.5000, 0.2837, 0.0000], [0.0000, 0.7163, 0.0000], [0.7500, 0.8786, 0.7571], [0.2500, 0.3590, 0.7180], [0.7500, 0.6410, 0.2820], [0.2500, 0.9261, 0.8521], [0.7500, 0.0739, 0.1479]]
}